Record 1
## MgTa2BiC (PBE)

Data for a relaxed MgTa2BiC crystal. Values from VASP.

## Properties
Energy of formation   2588.3 meV per atom
Space-group type   P4/mmm (123)
E_tot   -5.093 eV/atom

```
&SYSTEM
  ibrav = 0, nat = 5, ntyp = 4
/
ATOMIC_SPECIES
Mg 24.30 Mg.upf
Ta 180.95 Ta.upf
Bi 208.98 Bi.upf
C 12.01 C.upf
ATOMIC_POSITIONS angstrom
Mg 0.000 0.000 0.000
Ta 0.000 2.646 2.246
Ta 2.646 0.000 2.246
Bi 2.646 2.646 2.246
C 2.646 2.646 0.000
CELL_PARAMETERS angstrom
5.292 0.000 0.000
0.000 5.292 0.000
0.000 0.000 4.493
```



Record 2
## MgTaBiC2 (PBE)

Data for a relaxed MgTaBiC2 crystal. Values from VASP.

## Properties
Energy of formation   1428.3 meV per atom
Space-group type   P4/mmm (123)
E_tot   -5.727 eV/atom

```
&SYSTEM
  ibrav = 0, nat = 5, ntyp = 4
/
ATOMIC_SPECIES
Mg 24.30 Mg.upf
Ta 180.95 Ta.upf
Bi 208.98 Bi.upf
C 12.01 C.upf
ATOMIC_POSITIONS angstrom
Mg 0.000 0.000 0.000
Ta 0.000 0.000 2.819
Bi 2.104 2.104 0.000
C 0.000 2.104 2.819
C 2.104 0.000 2.819
CELL_PARAMETERS angstrom
4.209 0.000 0.000
0.000 4.209 0.000
0.000 0.000 5.639
```



Record 3
## Mg2TaBiC (PBE)

Data for a relaxed Mg2TaBiC crystal. Values from VASP.

## Properties
Energy of formation   2250.0 meV per atom
Space-group type   P4/mmm (123)
E_tot   -3.379 eV/atom

```
&SYSTEM
  ibrav = 0, nat = 5, ntyp = 4
/
ATOMIC_SPECIES
Mg 24.30 Mg.upf
Ta 180.95 Ta.upf
Bi 208.98 Bi.upf
C 12.01 C.upf
ATOMIC_POSITIONS angstrom
Mg 0.000 2.771 0.000
Mg 2.771 0.000 0.000
Ta 0.000 0.000 2.123
Bi 2.771 2.771 0.000
C 2.771 2.771 2.123
CELL_PARAMETERS angstrom
5.542 0.000 0.000
0.000 5.542 0.000
0.000 0.000 4.246
```



Record 4
## Tb2MgBiC (PBE)

Data for a relaxed Tb2MgBiC crystal. Values from VASP.

## Properties
Energy of formation   -450.4 meV per atom
Space-group type   P4/mmm (123)
E_tot   -5.242 eV/atom

```
&SYSTEM
  ibrav = 0, nat = 5, ntyp = 4
/
ATOMIC_SPECIES
Tb 158.93 Tb.upf
Mg 24.30 Mg.upf
Bi 208.98 Bi.upf
C 12.01 C.upf
ATOMIC_POSITIONS angstrom
Tb 0.000 2.516 0.000
Tb 2.516 0.000 0.000
Mg 0.000 0.000 2.207
Bi 2.516 2.516 2.207
C 0.000 0.000 0.000
CELL_PARAMETERS angstrom
5.033 0.000 0.000
0.000 5.033 0.000
0.000 0.000 4.415
```



Record 5
## MgVBiC2 (PBE)

Data for a relaxed MgVBiC2 crystal. Values from VASP.

## Properties
Energy of formation   2271.2 meV per atom
Space-group type   P4/mmm (123)
E_tot   -4.337 eV/atom

```
&SYSTEM
  ibrav = 0, nat = 5, ntyp = 4
/
ATOMIC_SPECIES
Mg 24.30 Mg.upf
V 50.94 V.upf
Bi 208.98 Bi.upf
C 12.01 C.upf
ATOMIC_POSITIONS angstrom
Mg 0.000 0.000 0.000
V 0.000 0.000 2.481
Bi 2.060 2.060 2.481
C 0.000 2.060 0.000
C 2.060 0.000 0.000
CELL_PARAMETERS angstrom
4.120 0.000 0.000
0.000 4.120 0.000
0.000 0.000 4.961
```



Record 6
## Y2MgBiC (PBE)

Data for a relaxed Y2MgBiC crystal. Values from VASP.

## Properties
Energy of formation   -473.6 meV per atom
Space-group type   P4/mmm (123)
E_tot   -5.999 eV/atom

```
&SYSTEM
  ibrav = 0, nat = 5, ntyp = 4
/
ATOMIC_SPECIES
Y 88.91 Y.upf
Mg 24.30 Mg.upf
Bi 208.98 Bi.upf
C 12.01 C.upf
ATOMIC_POSITIONS angstrom
Y 0.000 2.504 0.000
Y 2.504 0.000 0.000
Mg 0.000 0.000 2.212
Bi 2.504 2.504 2.212
C 0.000 0.000 0.000
CELL_PARAMETERS angstrom
5.008 0.000 0.000
0.000 5.008 0.000
0.000 0.000 4.423
```



Record 7
## MnBi3C (PBE)

Data for a relaxed MnBi3C crystal. Values from VASP.

## Properties
Energy of formation   1648.6 meV per atom
Space-group type   Pm-3m (221)
Energy above the lowest structure with this stoichiometry   9.8 kJ/mol of atoms
E_tot   -4.359 eV/atom

```
&SYSTEM
  ibrav = 0, nat = 5, ntyp = 3
/
ATOMIC_SPECIES
Mn 54.94 Mn.upf
Bi 208.98 Bi.upf
C 12.01 C.upf
ATOMIC_POSITIONS angstrom
Mn 0.000 0.000 0.000
Bi 0.000 0.000 2.508
Bi 0.000 2.508 0.000
Bi 2.508 0.000 0.000
C 2.508 2.508 2.508
CELL_PARAMETERS angstrom
5.015 0.000 0.000
0.000 5.015 0.000
0.000 0.000 5.015
```



Record 8
## Mn2BiC (PBE)

Data for a relaxed Mn2BiC crystal. Values from VASP.

## Properties
Energy of formation   1450.0 meV per atom
Space-group type   Fm-3m (225)
E_tot   -6.411 eV/atom

```
&SYSTEM
  ibrav = 0, nat = 16, ntyp = 3
/
ATOMIC_SPECIES
Mn 54.94 Mn.upf
Bi 208.98 Bi.upf
C 12.01 C.upf
ATOMIC_POSITIONS angstrom
Mn 1.591 1.591 1.591
Mn 1.591 1.591 4.773
Mn 1.591 4.773 1.591
Mn 1.591 4.773 4.773
Mn 4.773 1.591 1.591
Mn 4.773 1.591 4.773
Mn 4.773 4.773 1.591
Mn 4.773 4.773 4.773
Bi 0.000 0.000 0.000
Bi 0.000 3.182 3.182
Bi 3.182 0.000 3.182
Bi 3.182 3.182 0.000
C 0.000 0.000 3.182
C 0.000 3.182 0.000
C 3.182 0.000 0.000
C 3.182 3.182 3.182
CELL_PARAMETERS angstrom
6.364 0.000 0.000
0.000 6.364 0.000
0.000 0.000 6.364
```



Record 9
## Mn3BiC (PBE)

Data for a relaxed Mn3BiC crystal. Values from VASP.

## Properties
Energy of formation   2435.8 meV per atom
Space-group type   Pm-3m (221)
E_tot   -5.687 eV/atom

```
&SYSTEM
  ibrav = 0, nat = 5, ntyp = 3
/
ATOMIC_SPECIES
Mn 54.94 Mn.upf
Bi 208.98 Bi.upf
C 12.01 C.upf
ATOMIC_POSITIONS angstrom
Mn 0.000 0.000 2.588
Mn 0.000 2.588 0.000
Mn 2.588 0.000 0.000
Bi 0.000 0.000 0.000
C 2.588 2.588 2.588
CELL_PARAMETERS angstrom
5.176 0.000 0.000
0.000 5.176 0.000
0.000 0.000 5.176
```



Record 10
## Mn3BiC (PBE)

Data for a relaxed Mn3BiC crystal. Values from VASP.

## Properties
Energy of formation   312.5 meV per atom
Space-group type   Pm-3m (221)
E_tot   -7.810 eV/atom

```
&SYSTEM
  ibrav = 0, nat = 5, ntyp = 3
/
ATOMIC_SPECIES
Mn 54.94 Mn.upf
Bi 208.98 Bi.upf
C 12.01 C.upf
ATOMIC_POSITIONS angstrom
Mn 0.000 0.000 1.981
Mn 0.000 1.981 0.000
Mn 1.981 0.000 0.000
Bi 1.981 1.981 1.981
C 0.000 0.000 0.000
CELL_PARAMETERS angstrom
3.963 0.000 0.000
0.000 3.963 0.000
0.000 0.000 3.963
```



Record 11
## Mn2BiC (PBE)

Data for a relaxed Mn2BiC crystal. Values from VASP.

## Properties
Energy of formation   457.9 meV per atom
Space-group type   I-42d (122)
E_tot   -7.403 eV/atom

```
&SYSTEM
  ibrav = 0, nat = 16, ntyp = 3
/
ATOMIC_SPECIES
Mn 54.94 Mn.upf
Bi 208.98 Bi.upf
C 12.01 C.upf
ATOMIC_POSITIONS angstrom
Mn 0.735 1.570 0.801
Mn 1.570 3.874 2.404
Mn 1.570 5.545 5.610
Mn 2.405 1.570 4.007
Mn 3.874 4.709 4.007
Mn 4.709 0.735 5.610
Mn 4.709 2.405 2.404
Mn 5.545 4.709 0.801
Bi 0.000 0.000 3.206
Bi 0.000 3.140 4.809
Bi 3.140 0.000 1.603
Bi 3.140 3.140 0.000
C 0.000 0.000 0.000
C 0.000 3.140 1.603
C 3.140 0.000 4.809
C 3.140 3.140 3.206
CELL_PARAMETERS angstrom
6.279 0.000 0.000
0.000 6.279 0.000
0.000 0.000 6.411
```



Record 12
## MnBi3C (PBE)

Data for a relaxed MnBi3C crystal. Values from VASP.

## Properties
Energy of formation   1547.3 meV per atom
Space-group type   Pm-3m (221)
Energy above the lowest structure with this stoichiometry   0.0 kJ/mol of atoms
E_tot   -4.460 eV/atom

```
&SYSTEM
  ibrav = 0, nat = 5, ntyp = 3
/
ATOMIC_SPECIES
Mn 54.94 Mn.upf
Bi 208.98 Bi.upf
C 12.01 C.upf
ATOMIC_POSITIONS angstrom
Mn 0.000 0.000 0.000
Bi 0.000 2.459 2.459
Bi 2.459 0.000 2.459
Bi 2.459 2.459 0.000
C 2.459 2.459 2.459
CELL_PARAMETERS angstrom
4.918 0.000 0.000
0.000 4.918 0.000
0.000 0.000 4.918
```



Record 13
## Rb2MnBiC (PBE)

Data for a relaxed Rb2MnBiC crystal. Values from VASP.

## Properties
Energy of formation   688.9 meV per atom
Space-group type   P4/mmm (123)
E_tot   -4.153 eV/atom

```
&SYSTEM
  ibrav = 0, nat = 5, ntyp = 4
/
ATOMIC_SPECIES
Rb 85.47 Rb.upf
Mn 54.94 Mn.upf
Bi 208.98 Bi.upf
C 12.01 C.upf
ATOMIC_POSITIONS angstrom
Rb 0.000 3.522 0.000
Rb 3.522 0.000 0.000
Mn 0.000 0.000 0.000
Bi 3.522 3.522 1.837
C 0.000 0.000 1.837
CELL_PARAMETERS angstrom
7.045 0.000 0.000
0.000 7.045 0.000
0.000 0.000 3.675
```



Record 14
## Mn2BiRhC (PBE)

Data for a relaxed Mn2BiRhC crystal. Values from VASP.

## Properties
Energy of formation   198.1 meV per atom
Space-group type   P4/mmm (123)
E_tot   -7.561 eV/atom

```
&SYSTEM
  ibrav = 0, nat = 5, ntyp = 4
/
ATOMIC_SPECIES
Mn 54.94 Mn.upf
Bi 208.98 Bi.upf
Rh 102.91 Rh.upf
C 12.01 C.upf
ATOMIC_POSITIONS angstrom
Mn 0.000 2.055 0.000
Mn 2.055 0.000 0.000
Bi 0.000 0.000 2.160
Rh 2.055 2.055 2.160
C 2.055 2.055 0.000
CELL_PARAMETERS angstrom
4.109 0.000 0.000
0.000 4.109 0.000
0.000 0.000 4.321
```



Record 15
## MnSnBi2C (PBE)

Data for a relaxed MnSnBi2C crystal. Values from VASP.

## Properties
Energy of formation   1522.7 meV per atom
Space-group type   P4/mmm (123)
E_tot   -4.509 eV/atom

```
&SYSTEM
  ibrav = 0, nat = 5, ntyp = 4
/
ATOMIC_SPECIES
Mn 54.94 Mn.upf
Sn 118.71 Sn.upf
Bi 208.98 Bi.upf
C 12.01 C.upf
ATOMIC_POSITIONS angstrom
Mn 0.000 0.000 0.000
Sn 0.000 0.000 2.413
Bi 0.000 2.468 0.000
Bi 2.468 0.000 0.000
C 2.468 2.468 2.413
CELL_PARAMETERS angstrom
4.935 0.000 0.000
0.000 4.935 0.000
0.000 0.000 4.825
```



Record 16
## Y2MnBiC (PBE)

Data for a relaxed Y2MnBiC crystal. Values from VASP.

## Properties
Energy of formation   -366.3 meV per atom
Space-group type   P4/mmm (123)
E_tot   -7.407 eV/atom

```
&SYSTEM
  ibrav = 0, nat = 5, ntyp = 4
/
ATOMIC_SPECIES
Y 88.91 Y.upf
Mn 54.94 Mn.upf
Bi 208.98 Bi.upf
C 12.01 C.upf
ATOMIC_POSITIONS angstrom
Y 0.000 2.536 0.000
Y 2.536 0.000 0.000
Mn 0.000 0.000 2.034
Bi 2.536 2.536 2.034
C 0.000 0.000 0.000
CELL_PARAMETERS angstrom
5.073 0.000 0.000
0.000 5.073 0.000
0.000 0.000 4.067
```



Record 17
## ZrMnBiC2 (PBE)

Data for a relaxed ZrMnBiC2 crystal. Values from VASP.

## Properties
Energy of formation   1339.8 meV per atom
Space-group type   P4/mmm (123)
E_tot   -6.669 eV/atom

```
&SYSTEM
  ibrav = 0, nat = 5, ntyp = 4
/
ATOMIC_SPECIES
Zr 91.22 Zr.upf
Mn 54.94 Mn.upf
Bi 208.98 Bi.upf
C 12.01 C.upf
ATOMIC_POSITIONS angstrom
Zr 0.000 0.000 0.000
Mn 1.966 1.966 2.672
Bi 1.966 1.966 0.000
C 0.000 1.966 2.672
C 1.966 0.000 2.672
CELL_PARAMETERS angstrom
3.932 0.000 0.000
0.000 3.932 0.000
0.000 0.000 5.345
```



Record 18
## BiMo2C (PBE)

Data for a relaxed BiMo2C crystal. Values from VASP.

## Properties
Energy of formation   1590.4 meV per atom
Space-group type   Fm-3m (225)
Energy above the lowest structure with this stoichiometry   71.0 kJ/mol of atoms
E_tot   -7.101 eV/atom

```
&SYSTEM
  ibrav = 0, nat = 16, ntyp = 3
/
ATOMIC_SPECIES
Bi 208.98 Bi.upf
Mo 95.94 Mo.upf
C 12.01 C.upf
ATOMIC_POSITIONS angstrom
Bi 0.000 0.000 0.000
Bi 0.000 3.157 3.157
Bi 3.157 0.000 3.157
Bi 3.157 3.157 0.000
Mo 1.578 1.578 1.578
Mo 1.578 1.578 4.735
Mo 1.578 4.735 1.578
Mo 1.578 4.735 4.735
Mo 4.735 1.578 1.578
Mo 4.735 1.578 4.735
Mo 4.735 4.735 1.578
Mo 4.735 4.735 4.735
C 0.000 0.000 3.157
C 0.000 3.157 0.000
C 3.157 0.000 0.000
C 3.157 3.157 3.157
CELL_PARAMETERS angstrom
6.314 0.000 0.000
0.000 6.314 0.000
0.000 0.000 6.314
```



Record 19
## BiMo2C (PBE)

Data for a relaxed BiMo2C crystal. Values from VASP.

## Properties
Energy of formation   854.8 meV per atom
Space-group type   I-42d (122)
Energy above the lowest structure with this stoichiometry   0.0 kJ/mol of atoms
E_tot   -7.837 eV/atom

```
&SYSTEM
  ibrav = 0, nat = 16, ntyp = 3
/
ATOMIC_SPECIES
Bi 208.98 Bi.upf
Mo 95.94 Mo.upf
C 12.01 C.upf
ATOMIC_POSITIONS angstrom
Bi 0.000 0.000 0.000
Bi 0.000 2.616 2.895
Bi 2.616 0.000 8.686
Bi 2.616 2.616 5.791
Mo 0.516 1.308 7.238
Mo 1.308 3.133 10.134
Mo 1.308 4.716 4.343
Mo 2.100 1.308 1.448
Mo 3.133 3.924 1.448
Mo 3.924 0.516 4.343
Mo 3.924 2.100 10.134
Mo 4.716 3.924 7.238
C 0.000 0.000 5.791
C 0.000 2.616 8.686
C 2.616 0.000 2.895
C 2.616 2.616 0.000
CELL_PARAMETERS angstrom
5.232 0.000 0.000
0.000 5.232 0.000
0.000 0.000 11.581
```



Record 20
## BiMoC3 (PBE)

Data for a relaxed BiMoC3 crystal. Values from VASP.

## Properties
Energy of formation   3686.0 meV per atom
Space-group type   Pm-3m (221)
Energy above the lowest structure with this stoichiometry   184.6 kJ/mol of atoms
E_tot   -4.791 eV/atom

```
&SYSTEM
  ibrav = 0, nat = 5, ntyp = 3
/
ATOMIC_SPECIES
Bi 208.98 Bi.upf
Mo 95.94 Mo.upf
C 12.01 C.upf
ATOMIC_POSITIONS angstrom
Bi 0.000 0.000 0.000
Mo 2.155 2.155 2.155
C 0.000 0.000 2.155
C 0.000 2.155 0.000
C 2.155 0.000 0.000
CELL_PARAMETERS angstrom
4.310 0.000 0.000
0.000 4.310 0.000
0.000 0.000 4.310
```